Entry from the Alexandria database: YCdTcB2 after structural relaxation (PBE-GGA).

Cell lengths 4.235, 5.584, 4.235 Å; angles 90.00, 90.00, 90.00 degrees
Last column: magnetic moment on the atom in μB.
Atoms (fractional coordinates):
B  0.000  0.000  0.500  -0.04
B  0.500  0.000  0.000  -0.04
Tc  0.500  0.500  0.500  2.10
Y  0.000  0.500  0.000  -0.12
Cd  0.000  0.000  0.000  0.00

Mass density: 5.32 Mg/m³
Total magnetic moment: 0.41 μB per atom
Total energy: -21.36 eV per cell

Entry from the Alexandria database: CrGa2Ir after structural relaxation (PBE-GGA).

Cell lengths 3.639, 3.981, 3.981 Å; angles 90.00, 90.00, 90.00 degrees
Last column: magnetic moment on the atom in μB.
Atoms (fractional coordinates):
Cr  0.500  0.000  0.000  2.81
Ga  0.000  0.000  0.500  -0.05
Ga  0.000  0.500  0.000  -0.05
Ir  0.500  0.500  0.500  0.11

Mass density: 11.05 Mg/m³
Total magnetic moment: 0.75 μB per atom
Total energy: -25.15 eV per cell

Entry from the Alexandria database: Pr2Pu3UP6 after structural relaxation (PBE-GGA).

Cell lengths 4.054, 8.119, 9.039 Å; angles 102.35, 102.96, 90.00 degrees
Last column: magnetic moment on the atom in μB.
Atoms (fractional coordinates):
P  0.337  0.404  0.674  -0.10
P  0.336  0.928  0.672  -0.10
P  0.004  0.758  0.008  -0.11
P  0.996  0.242  0.992  -0.11
P  0.663  0.596  0.326  -0.10
P  0.664  0.072  0.328  -0.10
Pu  0.500  0.500  0.000  5.04
Pu  0.168  0.836  0.336  4.96
Pu  0.832  0.164  0.664  4.96
Pr  0.834  0.664  0.667  0.03
Pr  0.166  0.336  0.333  0.03
U  0.500  0.000  0.000  1.97

Mass density: 8.44 Mg/m³
Total magnetic moment: 1.45 μB per atom
Total energy: -111.10 eV per cell